Record 1
A relaxed NdCoSi2Au crystal. Source: OQMD, functional PBE-GGA.

```
data_NdCoSi2Au
_chemical_formula_sum 'Nd2 Co2 Si4 Au2'
_symmetry_space_group_name_H-M 'P 1'
_symmetry_Int_Tables_number 1
_symmetry_space_group_name_Hall 'P 1'
_cell_length_a 4.119
_cell_length_b 4.119
_cell_length_c 10.208
_cell_angle_alpha 90.00
_cell_angle_beta 90.00
_cell_angle_gamma 90.00
loop_
_atom_site_label
_atom_site_type_symbol
_atom_site_fract_x
_atom_site_fract_y
_atom_site_fract_z
Nd1 Nd 0.000 0.000 0.000
Nd2 Nd 0.500 0.500 0.500
Co1 Co 0.000 0.500 0.250
Co2 Co 0.500 0.000 0.750
Si1 Si 0.000 0.000 0.383
Si2 Si 0.000 0.000 0.617
Si3 Si 0.500 0.500 0.117
Si4 Si 0.500 0.500 0.883
Au1 Au 0.000 0.500 0.750
Au2 Au 0.500 0.000 0.250
```

Output
* total magnetic moment: 1.26 μB per formula unit
* electronic total energy: -58.001 eV for the cell shown
* symmetry: No. 119
* V: 86.60 Å³/f.u.

---

Record 2
A relaxed Y2Tm2CI5 crystal. Source: OQMD, functional PBE-GGA.

```
data_Y2Tm2CI5
_chemical_formula_sum 'Y2 Tm2 C1 I5'
_symmetry_space_group_name_H-M 'P 1'
_symmetry_Int_Tables_number 1
_symmetry_space_group_name_Hall 'P 1'
_cell_length_a 9.685
_cell_length_b 9.685
_cell_length_c 8.551
_cell_angle_alpha 102.46
_cell_angle_beta 102.46
_cell_angle_gamma 23.42
loop_
_atom_site_label
_atom_site_type_symbol
_atom_site_fract_x
_atom_site_fract_y
_atom_site_fract_z
Y1 Y 0.130 0.130 0.065
Y2 Y 0.870 0.870 0.935
Tm1 Tm 0.500 0.500 0.186
Tm2 Tm 0.500 0.500 0.814
C1 C 0.000 0.000 0.000
I1 I 0.000 0.000 0.500
I2 I 0.334 0.334 0.182
I3 I 0.338 0.338 0.657
I4 I 0.662 0.662 0.343
I5 I 0.666 0.666 0.818
```

Output
* total magnetic moment: 0.03 μB per formula unit
* electronic total energy: -49.622 eV for the cell shown
* symmetry: No. 12
* V: 311.01 Å³/f.u.

---

Record 3
A relaxed Hf9BOs4 crystal. Source: OQMD, functional PBE-GGA.

```
data_Hf9BOs4
_chemical_formula_sum 'Hf18 B2 Os8'
_symmetry_space_group_name_H-M 'P 1'
_symmetry_Int_Tables_number 1
_symmetry_space_group_name_Hall 'P 1'
_cell_length_a 8.359
_cell_length_b 8.359
_cell_length_c 8.592
_cell_angle_alpha 90.00
_cell_angle_beta 90.00
_cell_angle_gamma 120.00
loop_
_atom_site_label
_atom_site_type_symbol
_atom_site_fract_x
_atom_site_fract_y
_atom_site_fract_z
Hf1 Hf 0.083 0.541 0.250
Hf2 Hf 0.199 0.399 0.559
Hf3 Hf 0.199 0.399 0.941
Hf4 Hf 0.199 0.801 0.559
Hf5 Hf 0.199 0.801 0.941
Hf6 Hf 0.399 0.199 0.059
Hf7 Hf 0.399 0.199 0.441
Hf8 Hf 0.459 0.541 0.250
Hf9 Hf 0.459 0.917 0.250
Hf10 Hf 0.541 0.083 0.750
Hf11 Hf 0.541 0.459 0.750
Hf12 Hf 0.601 0.801 0.559
Hf13 Hf 0.601 0.801 0.941
Hf14 Hf 0.801 0.199 0.059
Hf15 Hf 0.801 0.199 0.441
Hf16 Hf 0.801 0.601 0.059
Hf17 Hf 0.801 0.601 0.441
Hf18 Hf 0.917 0.459 0.750
B1 B 0.333 0.667 0.750
B2 B 0.667 0.333 0.250
Os1 Os 0.000 0.000 0.000
Os2 Os 0.000 0.000 0.500
Os3 Os 0.113 0.227 0.250
Os4 Os 0.113 0.887 0.250
Os5 Os 0.227 0.113 0.750
Os6 Os 0.773 0.887 0.250
Os7 Os 0.887 0.113 0.750
Os8 Os 0.887 0.773 0.750
```

Output
* total magnetic moment: 0.01 μB per formula unit
* electronic total energy: -293.843 eV for the cell shown
* symmetry: No. 194
* V: 259.96 Å³/f.u.

---

Record 4
A relaxed LuCoSnIr crystal. Source: OQMD, functional PBE-GGA.

```
data_LuCoSnIr
_chemical_formula_sum 'Lu4 Co4 Sn4 Ir4'
_symmetry_space_group_name_H-M 'P 1'
_symmetry_Int_Tables_number 1
_symmetry_space_group_name_Hall 'P 1'
_cell_length_a 6.568
_cell_length_b 6.568
_cell_length_c 6.568
_cell_angle_alpha 90.00
_cell_angle_beta 90.00
_cell_angle_gamma 90.00
loop_
_atom_site_label
_atom_site_type_symbol
_atom_site_fract_x
_atom_site_fract_y
_atom_site_fract_z
Lu1 Lu 0.000 0.000 0.000
Lu2 Lu 0.000 0.500 0.500
Lu3 Lu 0.500 0.000 0.500
Lu4 Lu 0.500 0.500 0.000
Co1 Co 0.000 0.000 0.500
Co2 Co 0.000 0.500 0.000
Co3 Co 0.500 0.000 0.000
Co4 Co 0.500 0.500 0.500
Sn1 Sn 0.250 0.250 0.250
Sn2 Sn 0.250 0.750 0.750
Sn3 Sn 0.750 0.250 0.750
Sn4 Sn 0.750 0.750 0.250
Ir1 Ir 0.250 0.250 0.750
Ir2 Ir 0.250 0.750 0.250
Ir3 Ir 0.750 0.250 0.250
Ir4 Ir 0.750 0.750 0.750
```

Output
* total magnetic moment: 1.80 μB per formula unit
* electronic total energy: -98.383 eV for the cell shown
* symmetry: No. 216
* V: 70.85 Å³/f.u.